First-principles (PBE-GGA) data for a relaxed structure of PmGa4CoNi2, as listed in Alexandria.

Geometry as CIF:
```
data_PmGa4CoNi2
_chemical_formula_sum 'Pm3 Ga12 Co3 Ni6'
_space_group_name_H-M_alt 'R -3 m'
_space_group_IT_number 166
_space_group_name_Hall '-R 3 2"'
_cell_length_a 4.0821
_cell_length_b 4.0821
_cell_length_c 26.2860
_cell_angle_alpha 90.00
_cell_angle_beta 90.00
_cell_angle_gamma 120.00
loop_
_atom_site_label
_atom_site_type_symbol
_atom_site_fract_x
_atom_site_fract_y
_atom_site_fract_z
_atom_site_occupancy
Pm1 Pm 0.0000 0.0000 0.0000 1
Ga1 Ga 0.0000 0.0000 0.1332 1
Ga2 Ga 0.0000 0.0000 0.4055 1
Co1 Co 0.0000 0.0000 0.5000 1
Ni1 Ni 0.0000 0.0000 0.2295 1
```

Output
ΔE_f ... -0.4535 eV/atom
D(E_F) ... 16.3 states/eV per cell
Magnetic moment ... 0.0 μB/f.u.
Volume ... 126 Å³/f.u.